# PBE-GGA LaHf3Br, optimized geometry
# Volume   150.1 Å³ per cell
# Uncorrected energy   -5.686 eV/atom
# E_form (uncorrected)   1.61 eV/atom
# Total magnetization   0.0 μB/f.u.
data_LaHf3Br
_space_group_name_H-M_alt 'P m -3 m'
_space_group_IT_number 221
_space_group_name_Hall '-P 4 2 3'
_cell_length_a 5.3149
_cell_length_b 5.3149
_cell_length_c 5.3149
_cell_angle_alpha 90.00
_cell_angle_beta 90.00
_cell_angle_gamma 90.00
loop_
_atom_site_label
_atom_site_type_symbol
_atom_site_fract_x
_atom_site_fract_y
_atom_site_fract_z
La1 La 0.0000 0.0000 0.0000
Hf1 Hf 0.0000 0.0000 0.5000
Br1 Br 0.5000 0.5000 0.5000